# NdV2IO9 (GGA-PBEsol, optimized geometry)
data_NdV2IO9
_chemical_formula_sum 'Nd4 V8 I4 O36'
_space_group_name_H-M_alt 'P 1'
_space_group_IT_number 1
_cell_length_a 6.9672
_cell_length_b 14.4268
_cell_length_c 7.1803
_cell_angle_alpha 90.00
_cell_angle_beta 90.00
_cell_angle_gamma 90.00
loop_
_space_group_symop_operation_xyz
'x,y,z'
loop_
_atom_site_label
_atom_site_type_symbol
_atom_site_fract_x
_atom_site_fract_y
_atom_site_fract_z
Nd1 Nd 0.1455 0.0458 0.2500
Nd2 Nd 0.1455 0.4542 0.7500
Nd3 Nd 0.8545 0.5458 0.2500
Nd4 Nd 0.8545 0.9542 0.7500
V1 V 0.1805 0.7287 0.7500
V2 V 0.1805 0.7713 0.2500
V3 V 0.4607 0.2500 0.0000
V4 V 0.4607 0.2500 0.5000
V5 V 0.5393 0.7500 0.0000
V6 V 0.5393 0.7500 0.5000
V7 V 0.8195 0.2287 0.7500
V8 V 0.8195 0.2713 0.2500
I1 I 0.2974 0.0573 0.7500
I2 I 0.2974 0.4427 0.2500
I3 I 0.7026 0.5573 0.7500
I4 I 0.7026 0.9427 0.2500
O1 O 0.0105 0.6928 0.2500
O2 O 0.0105 0.8072 0.7500
O3 O 0.0768 0.6253 0.7500
O4 O 0.0768 0.8747 0.2500
O5 O 0.1728 0.5113 0.0698
O6 O 0.1728 0.5113 0.4302
O7 O 0.1728 0.9887 0.5698
O8 O 0.1728 0.9887 0.9302
O9 O 0.2617 0.7500 0.0000
O10 O 0.2617 0.7500 0.5000
O11 O 0.3253 0.1574 0.0437
O12 O 0.3253 0.1574 0.4563
O13 O 0.3253 0.3426 0.5437
O14 O 0.3253 0.3426 0.9563
O15 O 0.4707 0.5023 0.7500
O16 O 0.4707 0.9977 0.2500
O17 O 0.4720 0.7205 0.7500
O18 O 0.4720 0.7795 0.2500
O19 O 0.5280 0.2205 0.7500
O20 O 0.5280 0.2795 0.2500
O21 O 0.5293 0.0023 0.7500
O22 O 0.5293 0.4977 0.2500
O23 O 0.6747 0.6574 0.0437
O24 O 0.6747 0.6574 0.4563
O25 O 0.6747 0.8426 0.5437
O26 O 0.6747 0.8426 0.9563
O27 O 0.7383 0.2500 0.0000
O28 O 0.7383 0.2500 0.5000
O29 O 0.8272 0.0113 0.0698
O30 O 0.8272 0.0113 0.4302
O31 O 0.8272 0.4887 0.5698
O32 O 0.8272 0.4887 0.9302
O33 O 0.9232 0.1253 0.7500
O34 O 0.9232 0.3747 0.2500
O35 O 0.9895 0.1928 0.2500
O36 O 0.9895 0.3072 0.7500
# **Formation energy (no corrections)**: -2091 meV per atom
# **E**: -402.54 eV per cell